CuRu2Pb: optimized geometry, PBEsol.

Calculated values
V	15.25	Å³ per atom
E	-6.56	eV per atom
energy of formation	0.6107	eV per atom

Structure (POSCAR):
```
CuRu2Pb
1.0
-3.4989 0.9903 -2.5108
0.2816 -0.3009 -4.3997
-2.1632 -3.2054 -2.1384
Cu Pb Ru
1 1 2
direct
0.5000 0.5000 0.5000
0.7500 0.7500 0.7500
0.0000 0.0000 0.0000
0.2500 0.2500 0.2500
```